Crystalline La4TbEr2Tm at its relaxed geometry, computed with PBE-GGA.

Output
* E: -4.720 eV/atom
* ΔH_f (0 K): 22 meV/atom

Lattice parameters (Å, degrees): 5.2227 5.2484 9.8592 90.00 90.00 90.00
Space group Pmmm (No. 47)
Inequivalent atoms, fractional coordinates:
La 0.0000 0.0000 0.2485 [2 per cell]
La 0.5000 0.5000 0.2487 [2 per cell]
Tb 0.5000 0.0000 0.5000 [1 per cell]
Er 0.0000 0.5000 0.5000 [1 per cell]
Er 0.5000 0.0000 0.0000 [1 per cell]
Tm 0.0000 0.5000 0.0000 [1 per cell]

Crystalline LaTb2ErTm4 at its relaxed geometry, computed with PBE-GGA.

Output
* E: -4.554 eV/atom
* ΔH_f (0 K): 25 meV/atom

Lattice parameters (Å, degrees): 7.0981 9.9380 7.1061 90.00 90.04 90.00
Space group P2/m (No. 10)
Inequivalent atoms, fractional coordinates:
La 0.0000 0.0000 0.0000 [1 per cell]
La 0.0000 0.0000 0.5000 [1 per cell]
Tb 0.0000 0.5000 0.0000 [1 per cell]
Tb 0.5000 0.0000 0.0000 [1 per cell]
Tb 0.5000 0.5000 0.0000 [1 per cell]
Tb 0.5000 0.5000 0.5000 [1 per cell]
Er 0.0000 0.5000 0.5000 [1 per cell]
Er 0.5000 0.0000 0.5000 [1 per cell]
Tm 0.2525 0.2528 0.2507 [4 per cell]
Tm 0.2526 0.2528 0.7493 [4 per cell]

Crystalline LaTb3ErTm at its relaxed geometry, computed with PBE-GGA.

Output
* E: -4.435 eV/atom
* ΔH_f (0 K): 207 meV/atom

Lattice parameters (Å, degrees): 22.4773 5.3897 6.8281 90.00 98.23 90.00
Space group C2/m (No. 12)
Inequivalent atoms, fractional coordinates:
La 0.1283 0.0000 0.4835 [4 per cell]
Tb 0.0234 0.0000 0.7780 [4 per cell]
Tb 0.1742 0.5000 0.7777 [4 per cell]
Tb 0.2264 0.5000 0.3109 [4 per cell]
Er 0.1670 0.0000 0.0299 [4 per cell]
Tm 0.0737 0.5000 0.1361 [4 per cell]

Crystalline La2Tb2ErTm2 at its relaxed geometry, computed with PBE-GGA.

Output
* E: -4.575 eV/atom
* ΔH_f (0 K): 85 meV/atom

Lattice parameters (Å, degrees): 11.7360 3.5186 11.9020 90.00 109.30 90.00
Space group C2/m (No. 12)
Inequivalent atoms, fractional coordinates:
La 0.1701 0.0000 0.0841 [4 per cell]
Tb 0.0489 0.0000 0.7655 [4 per cell]
Er 0.0000 0.5000 0.5000 [2 per cell]
Tm 0.2275 0.5000 0.3679 [4 per cell]

Crystalline La2TbEr6Tm3 at its relaxed geometry, computed with PBE-GGA.

Output
* E: -4.578 eV/atom
* ΔH_f (0 K): 28 meV/atom

Lattice parameters (Å, degrees): 6.1526 10.6507 11.7315 90.00 100.06 90.00
Space group C2/m (No. 12)
Inequivalent atoms, fractional coordinates:
La 0.0000 0.1667 0.0000 [4 per cell]
Tb 0.0000 0.5000 0.0000 [2 per cell]
Er 0.2465 0.5000 0.7444 [4 per cell]
Er 0.2481 0.1662 0.7444 [8 per cell]
Tm 0.0000 0.0000 0.5000 [2 per cell]
Tm 0.0000 0.3336 0.5000 [4 per cell]

Crystalline LaTbEr2Tm4 at its relaxed geometry, computed with PBE-GGA.

Output
* E: -4.564 eV/atom
* ΔH_f (0 K): 7 meV/atom

Lattice parameters (Å, degrees): 7.0841 7.0850 11.4122 89.97 89.97 60.17
Space group P1 (No. 1)
Inequivalent atoms, fractional coordinates:
La 0.0000 0.0000 0.0000 [1 per cell]
La 0.5003 0.5001 0.0005 [1 per cell]
Tb 0.0002 0.5000 0.0003 [1 per cell]
Tb 0.5005 0.4999 0.5003 [1 per cell]
Er 0.0004 0.9999 0.5003 [1 per cell]
Er 0.0006 0.4998 0.5003 [1 per cell]
Er 0.5002 0.0000 0.0003 [1 per cell]
Er 0.5004 0.9999 0.5003 [1 per cell]
Tm 0.1670 0.1667 0.2530 [1 per cell]
Tm 0.1671 0.6672 0.2533 [1 per cell]
Tm 0.3333 0.8332 0.7473 [1 per cell]
Tm 0.3335 0.3331 0.7476 [1 per cell]
Tm 0.6673 0.1666 0.2533 [1 per cell]
Tm 0.6673 0.6668 0.2531 [1 per cell]
Tm 0.8336 0.3328 0.7472 [1 per cell]
Tm 0.8335 0.8331 0.7475 [1 per cell]

Crystalline LaTb2ErTm2 at its relaxed geometry, computed with PBE-GGA.

Output
* E: -4.447 eV/atom
* ΔH_f (0 K): 169 meV/atom

Lattice parameters (Å, degrees): 6.9146 16.0484 3.5226 90.00 90.00 90.00
Space group Pnnm (No. 58)
Inequivalent atoms, fractional coordinates:
La 0.0000 0.0000 0.0000 [2 per cell]
Tb 0.2481 0.3405 0.0000 [4 per cell]
Er 0.0000 0.5000 0.5000 [2 per cell]
Tm 0.2504 0.1553 0.5000 [4 per cell]

Crystalline La2TbEr2Tm at its relaxed geometry, computed with PBE-GGA.

Output
* E: -4.610 eV/atom
* ΔH_f (0 K): 70 meV/atom

Lattice parameters (Å, degrees): 7.0552 5.6817 9.8275 90.00 90.00 90.00
Space group Pmma (No. 51)
Inequivalent atoms, fractional coordinates:
La 0.0000 0.0000 0.0000 [2 per cell]
La 0.2500 0.5000 0.1807 [2 per cell]
Tb 0.2500 0.0000 0.6572 [2 per cell]
Er 0.2500 0.0000 0.3347 [2 per cell]
Er 0.2500 0.5000 0.8333 [2 per cell]
Tm 0.0000 0.5000 0.5000 [2 per cell]